Record 1
Density functional theory data (PBE-GGA) for an optimized crystal structure of LaH2OsO6.

a b c (Å): 5.0098 5.3421 5.7276
angles (deg): 67.21 68.64 64.34
Space group P1 (No. 1)
One atom of each set of equivalent atoms:
La 0.0000 0.0000 0.0000
H 0.1824 0.3778 0.2964
H 0.9459 0.6765 0.6951
Os 0.5214 0.4910 0.4870
O 0.1072 0.7327 0.6997
O 0.2643 0.5346 0.2448
O 0.3868 0.1912 0.6909
O 0.5256 0.8381 0.2584
O 0.7197 0.4652 0.7124
O 0.8662 0.2771 0.2937

Total energy ... -6.8536 eV/atom
D(E_F) ... 1.9 states/eV per cell

Record 2
Density functional theory data (PBE-GGA) for an optimized crystal structure of Cs2CrInI6.

a b c (Å): 12.0931 12.0931 12.0931
angles (deg): 90.00 90.00 90.00
Space group Fm-3m (No. 225)
One atom of each set of equivalent atoms:
Cs 0.2500 0.2500 0.2500
Cr 0.0000 0.0000 0.0000
In 0.0000 0.0000 0.5000
I 0.0000 0.0000 0.2296

Total energy ... -3.2110 eV/atom
D(E_F) ... 0.0 states/eV per cell

Record 3
Density functional theory data (PBE-GGA) for an optimized crystal structure of Er2BiN.

a b c (Å): 3.5714 3.5714 22.7820
angles (deg): 90.00 90.00 120.00
Space group R-3m (No. 166, hexagonal axes)
One atom of each set of equivalent atoms:
Er 0.0000 0.0000 0.2219
Bi 0.0000 0.0000 0.0000
N 0.0000 0.0000 0.5000

Total energy ... -6.4333 eV/atom
D(E_F) ... 8.7 states/eV per cell
Offset from the most stable computed form ... 16.7 kJ per mole of atoms

Record 4
Density functional theory data (PBE-GGA) for an optimized crystal structure of Ba3Tl2Hg2.

a b c (Å): 4.5678 26.9674 4.2863
angles (deg): 90.00 90.00 90.00
Space group Cmmm (No. 65)
One atom of each set of equivalent atoms:
Ba 0.0000 0.0000 0.0000
Ba 0.0000 0.1572 0.0000
Tl 0.0000 0.4217 0.5000
Hg 0.0000 0.2845 0.5000

Total energy ... -2.0094 eV/atom
D(E_F) ... 10.9 states/eV per cell